{
  "formula": "Ac3Si4Pb",
  "functional": "GGA-PBE",
  "state": "optimized geometry",
  "mass_density_g_cm3": 6.8,
  "dft_energy_ev_per_cell": -40.7,
  "space_group": "No. 71",
  "e_form_raw_ev_per_atom": -0.3687,
  "n_ef_per_ev_atom": 0.896,
  "cell": [[-1.670, 4.227, -0.468], [-1.165, 0.240, 6.327], [8.960, 0.887, -1.660]],
  "species": ["Ac", "Ac", "Ac", "Pb", "Si", "Si", "Si", "Si"],
  "frac_coords": [[0.814, 0.814, 0.627], [0.186, 0.186, 0.373], [0.000, 0.500, 0.000], [0.500, 0.000, 0.000], [0.368, 0.190, 0.737], [0.632, 0.810, 0.263], [0.632, 0.453, 0.263], [0.368, 0.547, 0.737]]
}